The following is a PBE+U calculation of a geometry-optimized KNiBr3O6 structure, from Alexandria via LeMat-Bulk.

Calculated total energy   -161.68 eV per cell
Calculated density   3.3 g cm⁻³
M_tot   1.96 μB per formula unit
D(E_F)   1.67 states/eV/f.u.

a b c (Å): 10.903 7.065 11.818
angles (deg): 90.00 107.10 90.00
Space group C2/c (No. 15)
One atom of each set of equivalent atoms:
K (0.000, 0.030, 0.250) (multiplicity 4)
Ni (0.250, 0.250, 0.000) (multiplicity 4)
Br (0.164, 0.453, 0.735) (multiplicity 8)
Br (0.250, 0.250, 0.500) (multiplicity 4)
O (0.079, 0.282, 0.643) (multiplicity 8)
O (0.213, 0.005, 0.934) (multiplicity 8)
O (0.214, 0.157, 0.154) (multiplicity 8)